--- w ---
## TaV3Pt (PBE-GGA)

Data for TaV3Pt after structural relaxation.

Cell lengths 4.5535, 4.5535, 4.5535 Å; angles 90.00, 90.00, 90.00 degrees
Last column: nearest neighbours and their distance in Å.
Positions (direct):
Ta 0.0000 0.0000 0.0000  6 V 2.28
V 0.0000 0.0000 0.5000  2 Ta 2.28
V 0.0000 0.5000 0.0000  2 Ta 2.28
V 0.5000 0.0000 0.0000  2 Ta 2.28
Pt 0.5000 0.5000 0.5000  12 V 3.22

Calculated values
Space-group type: Pm-3m

---

--- x ---
## TaV3Pt (PBE-GGA)

Data for TaV3Pt after structural relaxation.

Cell lengths 4.5912, 4.5912, 4.5912 Å; angles 90.00, 90.00, 90.00 degrees
Last column: nearest neighbours and their distance in Å.
Positions (direct):
Ta 0.0000 0.0000 0.0000  12 V 3.25
V 0.0000 0.5000 0.5000  2 Pt 2.30
V 0.5000 0.0000 0.5000  2 Pt 2.30
V 0.5000 0.5000 0.0000  2 Pt 2.30
Pt 0.5000 0.5000 0.5000  6 V 2.30

Calculated values
Space-group type: Pm-3m

---

Stability summary - winner: x; margin: 247 meV/atom.